A plane-wave DFT calculation with GGA-PBEsol was carried out for KRbSe2N after structural relaxation.

Values from the calculation:
The uncorrected formation energy is 0.809 eV per atom. As for the total magnetization: 5.0 μB per cell. The theoretical density is 2.64 g/cm³.

Cell: 5.212 5.985 5.985 Å, 90.00 90.00 90.00°
Element x y z (fractional)
Se (0.000, 0.500, 0.000)
Se (0.000, 0.000, 0.500)
N (0.500, 0.000, 0.000)
Rb (0.500, 0.500, 0.500)
K (0.000, 0.000, 0.000)

***

A plane-wave DFT calculation with GGA-PBEsol was carried out for KRbSeN2 after structural relaxation.

Values from the calculation:
The uncorrected formation energy is 1.453 eV per atom. As for the total magnetization: 6.0 μB per cell. The theoretical density is 2.30 g/cm³.

Cell: 5.223 5.223 6.120 Å, 90.00 90.00 90.00°
Element x y z (fractional)
N (0.000, 0.500, 0.000)
N (0.500, 0.000, 0.000)
Se (0.000, 0.000, 0.500)
K (0.000, 0.000, 0.000)
Rb (0.500, 0.500, 0.500)

***

A plane-wave DFT calculation with GGA-PBEsol was carried out for KReN2 after structural relaxation.

Values from the calculation:
The uncorrected formation energy is -0.231 eV per atom. As for the total magnetization: 0.0 μB per cell. The theoretical density is 5.84 g/cm³. The value obtained for the energy above the most stable polymorph in this dataset is 0.029 eV per atom.

Cell: 5.531 6.124 5.531 Å, 63.16 90.00 116.84°
Element x y z (fractional)
N (0.375, 0.250, 0.954)
N (0.796, 0.750, 0.375)
N (0.875, 0.250, 0.796)
N (0.954, 0.750, 0.875)
Re (0.000, 0.000, 0.000)
Re (0.750, 0.500, 0.750)
K (0.500, 0.000, 0.500)
K (0.250, 0.500, 0.250)

***

A plane-wave DFT calculation with GGA-PBEsol was carried out for KReN2 after structural relaxation.

Values from the calculation:
The uncorrected formation energy is -0.259 eV per atom. As for the total magnetization: 0.0 μB per cell. The theoretical density is 5.89 g/cm³. The value obtained for the energy above the most stable polymorph in this dataset is 0.000 eV per atom.

Cell: 6.159 7.624 12.171 Å, 90.00 90.00 90.00°
Element x y z (fractional)
K (0.451, 0.394, 0.250)
K (0.250, 0.139, 0.000)
K (0.951, 0.606, 0.250)
K (0.549, 0.606, 0.750)
K (0.250, 0.139, 0.500)
K (0.049, 0.394, 0.750)
K (0.750, 0.861, 0.500)
K (0.750, 0.861, 0.000)
Re (0.380, 0.894, 0.250)
Re (0.620, 0.106, 0.750)
Re (0.250, 0.637, 0.000)
Re (0.880, 0.106, 0.250)
Re (0.750, 0.363, 0.500)
Re (0.120, 0.894, 0.750)
Re (0.250, 0.637, 0.500)
Re (0.750, 0.363, 0.000)
N (0.199, 0.775, 0.624)
N (0.199, 0.775, 0.876)
N (0.000, 0.500, 0.500)
N (0.500, 0.500, 0.000)
N (0.688, 0.913, 0.250)
N (0.301, 0.775, 0.124)
N (0.801, 0.225, 0.376)
N (0.812, 0.913, 0.750)
N (0.188, 0.087, 0.250)
N (0.301, 0.775, 0.376)
N (0.699, 0.225, 0.624)
N (0.699, 0.225, 0.876)
N (0.801, 0.225, 0.124)
N (0.500, 0.500, 0.500)
N (0.312, 0.087, 0.750)
N (0.000, 0.500, 0.000)

***

A plane-wave DFT calculation with GGA-PBEsol was carried out for KRuN after structural relaxation.

Values from the calculation:
The uncorrected formation energy is 0.418 eV per atom. As for the total magnetization: 0.0 μB per cell. The theoretical density is 4.20 g/cm³.

Cell: 3.447 3.447 10.264 Å, 90.00 90.00 90.00°
Element x y z (fractional)
Ru (0.500, 0.500, 0.301)
Ru (0.500, 0.500, 0.801)
K (0.000, 0.000, 0.046)
K (0.000, 0.000, 0.546)
N (0.500, 0.000, 0.756)
N (0.000, 0.500, 0.256)

***

A plane-wave DFT calculation with GGA-PBEsol was carried out for KRu2N2 after structural relaxation.

Values from the calculation:
The uncorrected formation energy is 0.352 eV per atom. As for the total magnetization: 0.0 μB per cell. The theoretical density is 4.78 g/cm³.

Cell: 3.959 3.959 6.590 Å, 107.48 107.48 90.00°
Element x y z (fractional)
Ru (0.744, 0.744, 0.488)
Ru (0.256, 0.256, 0.512)
N (0.250, 0.750, 0.500)
N (0.750, 0.250, 0.500)
K (0.000, 0.000, 0.000)